Entry 1:
VASP calculation (GGA-PBE) on crystalline K2PPb at its relaxed geometry.

Geometry as POSCAR:
```
K2PPb
1.0
11.549 0.010 0.006
10.987 3.559 0.006
10.987 1.740 3.104
K P Pb
2 1 1
Direct
0.987 0.987 0.987 K
0.513 0.513 0.513 K
0.250 0.250 0.250 P
0.750 0.750 0.750 Pb
```

Values from the calculation:
V   127 Å³/cell
E_tot   -10.587 eV per cell
Formation energy   182 meV/atom



Entry 2:
VASP calculation (GGA-PBE) on crystalline HfZr3V at its relaxed geometry.

Geometry as POSCAR:
```
HfZr3V
1.0
-2.320 -1.814 -4.224
4.275 0.890 -2.730
1.692 -4.736 1.105
Hf Zr V
1 3 1
Direct
0.000 0.000 0.000 Hf
0.000 0.500 0.000 Zr
0.000 0.000 0.500 Zr
0.500 0.000 0.000 Zr
0.500 0.500 0.500 V
```

Values from the calculation:
V   137 Å³/cell
E_tot   -37.844 eV per cell
Formation energy   1375 meV/atom



Entry 3:
VASP calculation (GGA-PBE) on crystalline Ca3La3Pt4 at its relaxed geometry.

Geometry as POSCAR:
```
Ca3La3Pt4
1.0
-2.049 -3.281 -1.377
4.568 -4.763 4.551
-5.317 0.828 5.942
Ca La Pt
3 3 4
Direct
0.000 0.492 0.996 Ca
0.000 0.004 0.508 Ca
0.500 0.161 0.839 Ca
0.500 0.845 0.155 La
0.500 0.340 0.341 La
0.500 0.659 0.660 La
0.000 0.642 0.358 Pt
0.000 0.367 0.633 Pt
0.000 0.856 0.866 Pt
0.000 0.134 0.144 Pt
```

Values from the calculation:
V   264 Å³/cell
E_tot   -54.474 eV per cell
Formation energy   -952 meV/atom



Entry 4:
VASP calculation (GGA-PBE) on crystalline SrBe2Cl at its relaxed geometry.

Geometry as POSCAR:
```
SrBe2Cl
1.0
-1.850 -4.577 -7.111
8.312 0.355 -2.392
3.701 -4.329 -3.446
Sr Be Cl
2 4 2
Direct
0.000 0.000 0.000 Sr
0.750 0.250 0.500 Sr
0.605 0.125 0.250 Be
0.145 0.625 0.250 Be
0.375 0.395 0.750 Be
0.875 0.855 0.750 Be
0.500 0.500 0.000 Cl
0.250 0.750 0.500 Cl
```

Values from the calculation:
V   196 Å³/cell
E_tot   -19.787 eV per cell
Formation energy from raw total energies   0.272 eV/atom



Entry 5:
VASP calculation (GGA-PBE) on crystalline Mg2NiSe at its relaxed geometry.

Geometry as POSCAR:
```
Mg2NiSe
1.0
-1.108 -2.418 2.119
3.204 -0.850 0.706
3.244 3.012 5.133
Mg Ni Se
2 1 1
Direct
0.000 0.987 0.013 Mg
0.000 0.513 0.487 Mg
0.500 0.250 0.250 Ni
0.500 0.750 0.750 Se
```

Values from the calculation:
V   68 Å³/cell
E_tot   -13.930 eV per cell
Formation energy from raw total energies   -0.369 eV/atom



Entry 6:
VASP calculation (GGA-PBE) on crystalline Re4HgAs at its relaxed geometry.

Geometry as POSCAR:
```
Re4HgAs
1.0
-3.230 -2.296 3.502
-5.242 0.386 -0.589
-2.824 -4.248 -1.396
Re Hg As
4 1 1
Direct
0.874 0.375 0.375 Re
0.375 0.375 0.874 Re
0.375 0.874 0.375 Re
0.375 0.375 0.375 Re
0.000 0.000 0.000 Hg
0.750 0.750 0.750 As
```

Values from the calculation:
V   105 Å³/cell
E_tot   -49.626 eV per cell
Formation energy   853 meV/atom



- Which value of E_tot does entry 3 give?
  -54.474 eV per cell



- What is the V in the first record?
  127 Å³/cell